VASP calculation (GGA-PBE) on a relaxed structure of NdAg2Hg3.

Lattice parameters (Å, degrees): 4.9707 4.9707 13.1313 90.00 90.00 120.00
Sites, in units of the cell vectors:
Nd (0.0000, 0.0000, 0.2500)
Nd (0.0000, 0.0000, 0.7500)
Ag (0.3333, 0.6667, 0.1356)
Ag (0.3333, 0.6667, 0.3644)
Ag (0.6667, 0.3333, 0.6356)
Ag (0.6667, 0.3333, 0.8644)
Hg (0.0000, 0.0000, 0.0000)
Hg (0.0000, 0.0000, 0.5000)
Hg (0.3333, 0.6667, 0.6124)
Hg (0.3333, 0.6667, 0.8876)
Hg (0.6667, 0.3333, 0.1124)
Hg (0.6667, 0.3333, 0.3876)

Space-group type: No. 194
Formation energy, meV per atom: -206.2
Crystal system: hexagonal
N(E_F), states/eV per atom: 0.571
Raw total energy, eV per atom: -2.102